(1)
Density functional theory data (PBE-GGA) for KRh2Cl after structural relaxation.

The structure belongs to space group Pm (No. 6); the cell edges are 3.259, 3.376 and 7.894 Å and the angles 90.00°, 101.90° and 90.00°. The asymmetric unit holds K at (0.000, 0.000, 0.000), Rh at (0.237, 0.000, 0.479), Rh at (0.671, 0.500, 0.345) and Cl at (0.376, 0.500, 0.752).

Its excess energy over the best structure of this formula in the dataset is 0.0000 eV/atom. The calculation puts the energy relative to the elements, uncorrected at -0.0476 eV per atom. For the density of states at the Fermi level, the calculation gives 3.66 states/eV per cell.

---

(2)
Density functional theory data (PBE-GGA) for KRhCl4 after structural relaxation.

The structure belongs to space group F-43m (No. 216); the cell edges are 8.587, 8.587 and 8.587 Å and the angles 90.00°, 90.00° and 90.00°. The asymmetric unit holds K at (0.000, 0.000, 0.000), Rh at (0.250, 0.250, 0.750) and Cl at (0.124, 0.124, 0.376).

Its excess energy over the best structure of this formula in the dataset is 1.3094 eV/atom. The calculation puts the energy relative to the elements, uncorrected at 0.2977 eV per atom. For the density of states at the Fermi level, the calculation gives 4.62 states/eV per cell.

---

(3)
Density functional theory data (PBE-GGA) for KRhCl after structural relaxation.

The structure belongs to space group Fmm2 (No. 42); the cell edges are 5.012, 5.025 and 11.172 Å and the angles 90.00°, 90.00° and 90.00°. The asymmetric unit holds K at (0.000, 0.000, 0.000), Rh at (0.000, 0.000, 0.725) and Cl at (0.000, 0.000, 0.266).

Its excess energy over the best structure of this formula in the dataset is 0.1692 eV/atom. The calculation puts the energy relative to the elements, uncorrected at -0.0193 eV per atom. For the density of states at the Fermi level, the calculation gives 5.33 states/eV per cell.

---

(4)
Density functional theory data (PBE-GGA) for KRhCl after structural relaxation.

The structure belongs to space group P-6m2 (No. 187); the cell edges are 4.1187, 4.1187 and 4.9146 Å and the angles 90.00°, 90.00° and 120.00°. The asymmetric unit holds K at (0.0000, 0.0000, 0.0000), Rh at (0.6667, 0.3333, 0.5000) and Cl at (0.3333, 0.6667, 0.5000).

Its excess energy over the best structure of this formula in the dataset is 0.0000 eV/atom. The calculation puts the energy relative to the elements, uncorrected at -0.1886 eV per atom. For the density of states at the Fermi level, the calculation gives 3.72 states/eV per cell.

---

(5)
Density functional theory data (PBE-GGA) for K2RhCl5 after structural relaxation.

The structure belongs to space group Cm (No. 8); the cell edges are 8.850, 10.309 and 6.790 Å and the angles 90.00°, 130.62° and 90.00°. The asymmetric unit holds K at (0.000, 0.249, 0.000), Rh at (0.014, 0.500, 0.502), Cl at (0.223, 0.500, 0.957), Cl at (0.271, 0.500, 0.510), Cl at (0.275, 0.000, 0.047) and Cl at (0.499, 0.227, 0.502).

The calculation puts the energy relative to the elements, uncorrected at -1.2229 eV per atom.

---

(6)
Density functional theory data (PBE-GGA) for KScRhCl6 after structural relaxation.

The structure belongs to space group C2 (No. 5); the cell edges are 6.590, 10.928 and 7.133 Å and the angles 90.00°, 92.55° and 90.00°. The asymmetric unit holds K at (0.000, 0.000, 0.000), Sc at (0.000, 0.667, 0.500), Rh at (0.000, 0.325, 0.500), Cl at (0.134, 0.485, 0.694), Cl at (0.174, 0.805, 0.723) and Cl at (0.178, 0.173, 0.687).

The calculation puts the energy relative to the elements, uncorrected at -1.4899 eV per atom.

---

(7)
Density functional theory data (PBE-GGA) for KSrRhCl6 after structural relaxation.

The structure belongs to space group P-31c (No. 163); the cell edges are 7.0155, 7.0155 and 12.9824 Å and the angles 90.00°, 90.00° and 120.00°. The asymmetric unit holds K at (0.0000, 0.0000, 0.0000), Sr at (0.3333, 0.6667, 0.2500), Rh at (0.3333, 0.6667, 0.7500) and Cl at (0.0567, 0.3952, 0.6419).

The calculation puts the energy relative to the elements, uncorrected at -1.5189 eV per atom. For the density of states at the Fermi level, the calculation gives 0.00 states/eV per cell.

---

(8)
Density functional theory data (PBE-GGA) for KTlRhCl6 after structural relaxation.

The structure belongs to space group P-31c (No. 163); the cell edges are 7.1346, 7.1346 and 12.5338 Å and the angles 90.00°, 90.00° and 120.00°. The asymmetric unit holds K at (0.0000, 0.0000, 0.0000), Tl at (0.3333, 0.6667, 0.2500), Rh at (0.3333, 0.6667, 0.7500) and Cl at (0.0634, 0.3997, 0.6406).

The calculation puts the energy relative to the elements, uncorrected at -0.9513 eV per atom. For the density of states at the Fermi level, the calculation gives 13.79 states/eV per cell.

---

(9)
Density functional theory data (PBE-GGA) for K2TlRhCl8 after structural relaxation.

The structure belongs to space group P-1 (No. 2); the cell edges are 6.390, 7.073 and 7.966 Å and the angles 89.91°, 89.89° and 86.68°. The asymmetric unit holds K at (0.001, 0.000, 0.236), Tl at (0.500, 0.500, 0.500), Rh at (0.500, 0.500, 0.000), Cl at (0.278, 0.397, 0.216), Cl at (0.278, 0.397, 0.785), Cl at (0.296, 0.818, 0.500) and Cl at (0.320, 0.802, 0.000).

The calculation puts the energy relative to the elements, uncorrected at -1.0465 eV per atom.

---

(10)
Density functional theory data (PBE-GGA) for KTl2RhCl6 after structural relaxation.

The structure belongs to space group P2_1/c (No. 14); the cell edges are 7.100, 7.880 and 12.571 Å and the angles 90.00°, 123.33° and 90.00°. The asymmetric unit holds K at (0.000, 0.000, 0.000), Tl at (0.218, 0.064, 0.743), Rh at (0.500, 0.000, 0.500), Cl at (0.193, 0.161, 0.471), Cl at (0.278, 0.749, 0.440) and Cl at (0.377, 0.047, 0.285).

The calculation puts the energy relative to the elements, uncorrected at -1.0460 eV per atom.

---

(11)
Density functional theory data (PBE-GGA) for KZnRhCl6 after structural relaxation.

The structure belongs to space group P312 (No. 149); the cell edges are 6.3300, 6.3300 and 7.0245 Å and the angles 90.00°, 90.00° and 120.00°. The asymmetric unit holds K at (0.0000, 0.0000, 0.0000), Zn at (0.6667, 0.3333, 0.5000), Rh at (0.3333, 0.6667, 0.5000) and Cl at (0.0145, 0.3738, 0.6927).

The calculation puts the energy relative to the elements, uncorrected at -1.0827 eV per atom. For the density of states at the Fermi level, the calculation gives 0.00 states/eV per cell.

---

(12)
Density functional theory data (PBE-GGA) for KZrRhCl2 after structural relaxation.

The structure belongs to space group P4/mmm (No. 123); the cell edges are 4.912, 4.912 and 5.480 Å and the angles 90.00°, 90.00° and 90.00°. The asymmetric unit holds K at (0.000, 0.000, 0.000), Zr at (0.500, 0.500, 0.000), Rh at (0.000, 0.000, 0.500) and Cl at (0.000, 0.500, 0.500).

The calculation puts the energy relative to the elements, uncorrected at 0.6682 eV per atom. For the density of states at the Fermi level, the calculation gives 7.43 states/eV per cell.

---

Q: Among the records above, which one has the lowest energy relative to the elements, uncorrected?
A: KSrRhCl6

---

Q: The lowest energy relative to the elements, uncorrected belongs to which entry?
A: KSrRhCl6

---

Q: Which formula does entry 8 have?
A: KTlRhCl6